A geometry-optimized Sm3Al structure. Source: Alexandria via LeMat-Bulk, functional PBEsol.

abc: 6.8753 6.8753 5.2816
angles: 90.00 90.00 120.00
Fractional positions:
1 Sm 0.1769 0.3538 0.2500
2 Sm 0.1769 0.8231 0.2500
3 Sm 0.3538 0.1769 0.7500
4 Sm 0.6462 0.8231 0.2500
5 Sm 0.8231 0.1769 0.7500
6 Sm 0.8231 0.6462 0.7500
7 Al 0.3333 0.6667 0.7500
8 Al 0.6667 0.3333 0.2500

Computed properties:
**Crystal system**: hexagonal
**Formation enthalpy at 0 K**: -0.205 eV per atom
**Uncorrected energy**: -5.05 eV/atom
**SG**: P6_3/mmc (194)
**Density of states at the Fermi level**: 1.04 states/eV/atom
**E above lowest polymorph**: 0.0 meV/atom
**Magnetic moment**: 0.00 μB per formula unit



A geometry-optimized SmAl5 structure. Source: Alexandria via LeMat-Bulk, functional PBEsol.

abc: 5.4191 5.4191 17.6219
angles: 90.00 90.00 120.00
Fractional positions:
1 Sm 0.3333 0.6667 0.1500
2 Sm 0.3333 0.6667 0.3500
3 Sm 0.6667 0.3333 0.6500
4 Sm 0.6667 0.3333 0.8500
5 Al 0.0000 0.0000 0.1108
6 Al 0.0000 0.0000 0.3892
7 Al 0.0000 0.0000 0.6108
8 Al 0.0000 0.0000 0.8892
9 Al 0.0000 0.3651 0.5000
10 Al 0.0000 0.6349 0.0000
11 Al 0.1652 0.3304 0.7500
12 Al 0.1652 0.8348 0.7500
13 Al 0.3304 0.1652 0.2500
14 Al 0.3333 0.6667 0.6209
15 Al 0.3333 0.6667 0.8791
16 Al 0.3651 0.0000 0.5000
17 Al 0.3651 0.3651 0.0000
18 Al 0.6349 0.0000 0.0000
19 Al 0.6349 0.6349 0.5000
20 Al 0.6667 0.3333 0.1209
21 Al 0.6667 0.3333 0.3791
22 Al 0.6696 0.8348 0.7500
23 Al 0.8348 0.1652 0.2500
24 Al 0.8348 0.6696 0.2500

Computed properties:
**Crystal system**: hexagonal
**Formation enthalpy at 0 K**: -0.262 eV per atom
**Uncorrected energy**: -4.52 eV/atom
**SG**: P6_322 (182)
**Density of states at the Fermi level**: 0.40 states/eV/atom
**Magnetic moment**: 0.00 μB per formula unit



A geometry-optimized SmAl4 structure. Source: Alexandria via LeMat-Bulk, functional PBEsol.

abc: 4.1721 4.1721 11.4298
angles: 90.00 90.00 90.00
Fractional positions:
1 Sm 0.0000 0.0000 0.0000
2 Sm 0.5000 0.5000 0.5000
3 Al 0.0000 0.0000 0.3908
4 Al 0.0000 0.0000 0.6092
5 Al 0.0000 0.5000 0.2500
6 Al 0.0000 0.5000 0.7500
7 Al 0.5000 0.0000 0.2500
8 Al 0.5000 0.0000 0.7500
9 Al 0.5000 0.5000 0.1092
10 Al 0.5000 0.5000 0.8908

Computed properties:
**Crystal system**: tetragonal
**Formation enthalpy at 0 K**: -0.261 eV per atom
**Uncorrected energy**: -4.55 eV/atom
**SG**: I4/mmm (139)
**Density of states at the Fermi level**: 0.55 states/eV/atom
**E above lowest polymorph**: 93.3 meV/atom
**Magnetic moment**: 0.00 μB per formula unit



A geometry-optimized Sm6Ta4Al43 structure. Source: Alexandria via LeMat-Bulk, functional PBEsol.

abc: 11.0662 11.0662 17.8501
angles: 90.00 90.00 120.00
Fractional positions:
1 Sm 0.0000 0.4704 0.0958
2 Sm 0.0000 0.4704 0.4042
3 Sm 0.0000 0.5296 0.5958
4 Sm 0.0000 0.5296 0.9042
5 Sm 0.4704 0.0000 0.0958
6 Sm 0.4704 0.0000 0.4042
7 Sm 0.4704 0.4704 0.5958
8 Sm 0.4704 0.4704 0.9042
9 Sm 0.5296 0.0000 0.5958
10 Sm 0.5296 0.0000 0.9042
11 Sm 0.5296 0.5296 0.0958
12 Sm 0.5296 0.5296 0.4042
13 Ta 0.0000 0.0000 0.0000
14 Ta 0.0000 0.0000 0.5000
15 Ta 0.0000 0.2723 0.2500
16 Ta 0.0000 0.7277 0.7500
17 Ta 0.2723 0.0000 0.2500
18 Ta 0.2723 0.2723 0.7500
19 Ta 0.7277 0.0000 0.7500
20 Ta 0.7277 0.7277 0.2500
21 Al 0.0000 0.1483 0.7500
22 Al 0.0000 0.1588 0.1154
23 Al 0.0000 0.1588 0.3846
24 Al 0.0000 0.2543 0.5296
25 Al 0.0000 0.2543 0.9704
26 Al 0.0000 0.7457 0.0296
27 Al 0.0000 0.7457 0.4704
28 Al 0.0000 0.8412 0.6154
29 Al 0.0000 0.8412 0.8846
30 Al 0.0000 0.8517 0.2500
31 Al 0.1483 0.0000 0.7500
32 Al 0.1483 0.1483 0.2500
33 Al 0.1499 0.5548 0.2500
34 Al 0.1499 0.5952 0.7500
35 Al 0.1588 0.0000 0.1154
36 Al 0.1588 0.0000 0.3846
37 Al 0.1588 0.1588 0.6154
38 Al 0.1588 0.1588 0.8846
39 Al 0.1586 0.3948 0.6634
40 Al 0.1586 0.3948 0.8366
41 Al 0.1586 0.7639 0.1634
42 Al 0.1586 0.7639 0.3366
43 Al 0.2361 0.3948 0.1634
44 Al 0.2361 0.3948 0.3366
45 Al 0.2361 0.8414 0.6634
46 Al 0.2361 0.8414 0.8366
47 Al 0.2473 0.4946 0.0000
48 Al 0.2473 0.4946 0.5000
49 Al 0.2473 0.7527 0.0000
50 Al 0.2473 0.7527 0.5000
51 Al 0.2543 0.0000 0.5296
52 Al 0.2543 0.0000 0.9704
53 Al 0.2543 0.2543 0.0296
54 Al 0.2543 0.2543 0.4704
55 Al 0.3333 0.6667 0.1255
56 Al 0.3333 0.6667 0.3745
57 Al 0.3333 0.6667 0.6255
58 Al 0.3333 0.6667 0.8745
59 Al 0.3948 0.1586 0.6634
60 Al 0.3948 0.1586 0.8366
61 Al 0.3948 0.2361 0.1634
62 Al 0.3948 0.2361 0.3366
63 Al 0.4048 0.5548 0.7500
64 Al 0.4048 0.8501 0.2500
65 Al 0.4452 0.5952 0.2500
66 Al 0.4452 0.8501 0.7500
67 Al 0.4946 0.2473 0.0000
68 Al 0.4946 0.2473 0.5000
69 Al 0.5054 0.7527 0.0000
70 Al 0.5054 0.7527 0.5000
71 Al 0.5548 0.1499 0.2500
72 Al 0.5548 0.4048 0.7500
73 Al 0.5952 0.1499 0.7500
74 Al 0.5952 0.4452 0.2500
75 Al 0.6052 0.7639 0.6634
76 Al 0.6052 0.7639 0.8366
77 Al 0.6052 0.8414 0.1634
78 Al 0.6052 0.8414 0.3366
79 Al 0.6667 0.3333 0.1255
80 Al 0.6667 0.3333 0.3745
81 Al 0.6667 0.3333 0.6255
82 Al 0.6667 0.3333 0.8745
83 Al 0.7457 0.0000 0.0296
84 Al 0.7457 0.0000 0.4704
85 Al 0.7457 0.7457 0.5296
86 Al 0.7457 0.7457 0.9704
87 Al 0.7527 0.2473 0.0000
88 Al 0.7527 0.2473 0.5000
89 Al 0.7527 0.5054 0.0000
90 Al 0.7527 0.5054 0.5000
91 Al 0.7639 0.1586 0.1634
92 Al 0.7639 0.1586 0.3366
93 Al 0.7639 0.6052 0.6634
94 Al 0.7639 0.6052 0.8366
95 Al 0.8412 0.0000 0.6154
96 Al 0.8412 0.0000 0.8846
97 Al 0.8414 0.2361 0.6634
98 Al 0.8414 0.2361 0.8366
99 Al 0.8414 0.6052 0.1634
100 Al 0.8414 0.6052 0.3366
101 Al 0.8412 0.8412 0.1154
102 Al 0.8412 0.8412 0.3846
103 Al 0.8501 0.4048 0.2500
104 Al 0.8501 0.4452 0.7500
105 Al 0.8517 0.0000 0.2500
106 Al 0.8517 0.8517 0.7500

Computed properties:
**Crystal system**: hexagonal
**Formation enthalpy at 0 K**: -0.310 eV per atom
**Uncorrected energy**: -5.15 eV/atom
**SG**: P6_3/mcm (193)
**Density of states at the Fermi level**: 0.34 states/eV/atom
**Magnetic moment**: 0.00 μB per formula unit



A geometry-optimized Sm6Al39V8 structure. Source: Alexandria via LeMat-Bulk, functional PBEsol.

abc: 10.9654 10.9654 17.4654
angles: 90.00 90.00 120.00
Fractional positions:
1 Sm 0.0000 0.4657 0.0990
2 Sm 0.0000 0.4657 0.4010
3 Sm 0.0000 0.5343 0.5990
4 Sm 0.0000 0.5343 0.9010
5 Sm 0.4657 0.0000 0.0990
6 Sm 0.4657 0.0000 0.4010
7 Sm 0.4657 0.4657 0.5990
8 Sm 0.4657 0.4657 0.9010
9 Sm 0.5343 0.0000 0.5990
10 Sm 0.5343 0.0000 0.9010
11 Sm 0.5343 0.5343 0.0990
12 Sm 0.5343 0.5343 0.4010
13 Al 0.0000 0.1524 0.1176
14 Al 0.0000 0.1524 0.3824
15 Al 0.0000 0.1523 0.7500
16 Al 0.0000 0.2489 0.5285
17 Al 0.0000 0.2489 0.9715
18 Al 0.0000 0.7511 0.0285
19 Al 0.0000 0.7511 0.4715
20 Al 0.0000 0.8477 0.2500
21 Al 0.0000 0.8476 0.6176
22 Al 0.0000 0.8476 0.8824
23 Al 0.1524 0.0000 0.1176
24 Al 0.1524 0.0000 0.3824
25 Al 0.1523 0.0000 0.7500
26 Al 0.1523 0.1523 0.2500
27 Al 0.1524 0.1524 0.6176
28 Al 0.1524 0.1524 0.8824
29 Al 0.1561 0.5515 0.2500
30 Al 0.1561 0.6046 0.7500
31 Al 0.1630 0.3960 0.6621
32 Al 0.1630 0.3960 0.8379
33 Al 0.1630 0.7670 0.1621
34 Al 0.1630 0.7670 0.3379
35 Al 0.2330 0.3960 0.1621
36 Al 0.2330 0.3960 0.3379
37 Al 0.2330 0.8370 0.6621
38 Al 0.2330 0.8370 0.8379
39 Al 0.2489 0.0000 0.5285
40 Al 0.2489 0.0000 0.9715
41 Al 0.2489 0.2489 0.0285
42 Al 0.2489 0.2489 0.4715
43 Al 0.2503 0.5005 0.0000
44 Al 0.2503 0.5005 0.5000
45 Al 0.2503 0.7497 0.0000
46 Al 0.2503 0.7497 0.5000
47 Al 0.3954 0.5515 0.7500
48 Al 0.3954 0.8439 0.2500
49 Al 0.3960 0.1630 0.6621
50 Al 0.3960 0.1630 0.8379
51 Al 0.3960 0.2330 0.1621
52 Al 0.3960 0.2330 0.3379
53 Al 0.4485 0.6046 0.2500
54 Al 0.4485 0.8439 0.7500
55 Al 0.4995 0.7497 0.0000
56 Al 0.4995 0.7497 0.5000
57 Al 0.5005 0.2503 0.0000
58 Al 0.5005 0.2503 0.5000
59 Al 0.5515 0.1561 0.2500
60 Al 0.5515 0.3954 0.7500
61 Al 0.6040 0.7670 0.6621
62 Al 0.6040 0.7670 0.8379
63 Al 0.6040 0.8370 0.1621
64 Al 0.6040 0.8370 0.3379
65 Al 0.6046 0.1561 0.7500
66 Al 0.6046 0.4485 0.2500
67 Al 0.7497 0.2503 0.0000
68 Al 0.7497 0.2503 0.5000
69 Al 0.7497 0.4995 0.0000
70 Al 0.7497 0.4995 0.5000
71 Al 0.7511 0.0000 0.0285
72 Al 0.7511 0.0000 0.4715
73 Al 0.7511 0.7511 0.5285
74 Al 0.7511 0.7511 0.9715
75 Al 0.7670 0.1630 0.1621
76 Al 0.7670 0.1630 0.3379
77 Al 0.7670 0.6040 0.6621
78 Al 0.7670 0.6040 0.8379
79 Al 0.8370 0.2330 0.6621
80 Al 0.8370 0.2330 0.8379
81 Al 0.8370 0.6040 0.1621
82 Al 0.8370 0.6040 0.3379
83 Al 0.8439 0.3954 0.2500
84 Al 0.8439 0.4485 0.7500
85 Al 0.8477 0.0000 0.2500
86 Al 0.8476 0.0000 0.6176
87 Al 0.8476 0.0000 0.8824
88 Al 0.8476 0.8476 0.1176
89 Al 0.8476 0.8476 0.3824
90 Al 0.8477 0.8477 0.7500
91 V 0.0000 0.0000 0.0000
92 V 0.0000 0.0000 0.5000
93 V 0.0000 0.2635 0.2500
94 V 0.0000 0.7365 0.7500
95 V 0.2635 0.0000 0.2500
96 V 0.2635 0.2635 0.7500
97 V 0.3333 0.6667 0.1298
98 V 0.3333 0.6667 0.3702
99 V 0.3333 0.6667 0.6298
100 V 0.3333 0.6667 0.8702
101 V 0.6667 0.3333 0.1298
102 V 0.6667 0.3333 0.3702
103 V 0.6667 0.3333 0.6298
104 V 0.6667 0.3333 0.8702
105 V 0.7365 0.0000 0.7500
106 V 0.7365 0.7365 0.2500

Computed properties:
**Crystal system**: hexagonal
**Formation enthalpy at 0 K**: -0.299 eV per atom
**Uncorrected energy**: -5.34 eV/atom
**SG**: P6_3/mcm (193)
**Density of states at the Fermi level**: 0.49 states/eV/atom
**Magnetic moment**: 6.63 μB per formula unit



A geometry-optimized Sm6Al43W4 structure. Source: Alexandria via LeMat-Bulk, functional PBEsol.

abc: 10.9725 10.9725 17.7343
angles: 90.00 90.00 120.00
Fractional positions:
1 Sm 0.0000 0.4690 0.0952
2 Sm 0.0000 0.4690 0.4048
3 Sm 0.0000 0.5310 0.5952
4 Sm 0.0000 0.5310 0.9048
5 Sm 0.4690 0.0000 0.0952
6 Sm 0.4690 0.0000 0.4048
7 Sm 0.4690 0.4690 0.5952
8 Sm 0.4690 0.4690 0.9048
9 Sm 0.5310 0.0000 0.5952
10 Sm 0.5310 0.0000 0.9048
11 Sm 0.5310 0.5310 0.0952
12 Sm 0.5310 0.5310 0.4048
13 Al 0.0000 0.1482 0.7500
14 Al 0.0000 0.1599 0.1145
15 Al 0.0000 0.1599 0.3855
16 Al 0.0000 0.2527 0.5305
17 Al 0.0000 0.2527 0.9695
18 Al 0.0000 0.7473 0.0305
19 Al 0.0000 0.7473 0.4695
20 Al 0.0000 0.8401 0.6145
21 Al 0.0000 0.8401 0.8855
22 Al 0.0000 0.8518 0.2500
23 Al 0.1473 0.5510 0.2500
24 Al 0.1473 0.5963 0.7500
25 Al 0.1482 0.0000 0.7500
26 Al 0.1482 0.1482 0.2500
27 Al 0.1580 0.3938 0.6643
28 Al 0.1580 0.3938 0.8357
29 Al 0.1580 0.7641 0.1643
30 Al 0.1580 0.7641 0.3357
31 Al 0.1599 0.0000 0.1145
32 Al 0.1599 0.0000 0.3855
33 Al 0.1599 0.1599 0.6145
34 Al 0.1599 0.1599 0.8855
35 Al 0.2359 0.3938 0.1643
36 Al 0.2359 0.3938 0.3357
37 Al 0.2359 0.8420 0.6643
38 Al 0.2359 0.8420 0.8357
39 Al 0.2470 0.4939 0.0000
40 Al 0.2470 0.4939 0.5000
41 Al 0.2470 0.7530 0.0000
42 Al 0.2470 0.7530 0.5000
43 Al 0.2527 0.0000 0.5305
44 Al 0.2527 0.0000 0.9695
45 Al 0.2527 0.2527 0.0305
46 Al 0.2527 0.2527 0.4695
47 Al 0.3333 0.6667 0.1260
48 Al 0.3333 0.6667 0.3740
49 Al 0.3333 0.6667 0.6260
50 Al 0.3333 0.6667 0.8740
51 Al 0.3938 0.1580 0.6643
52 Al 0.3938 0.1580 0.8357
53 Al 0.3938 0.2359 0.1643
54 Al 0.3938 0.2359 0.3357
55 Al 0.4037 0.5510 0.7500
56 Al 0.4037 0.8527 0.2500
57 Al 0.4490 0.5963 0.2500
58 Al 0.4490 0.8527 0.7500
59 Al 0.4939 0.2470 0.0000
60 Al 0.4939 0.2470 0.5000
61 Al 0.5061 0.7530 0.0000
62 Al 0.5061 0.7530 0.5000
63 Al 0.5510 0.1473 0.2500
64 Al 0.5510 0.4037 0.7500
65 Al 0.5963 0.1473 0.7500
66 Al 0.5963 0.4490 0.2500
67 Al 0.6062 0.7641 0.6643
68 Al 0.6062 0.7641 0.8357
69 Al 0.6062 0.8420 0.1643
70 Al 0.6062 0.8420 0.3357
71 Al 0.6667 0.3333 0.1260
72 Al 0.6667 0.3333 0.3740
73 Al 0.6667 0.3333 0.6260
74 Al 0.6667 0.3333 0.8740
75 Al 0.7473 0.0000 0.0305
76 Al 0.7473 0.0000 0.4695
77 Al 0.7473 0.7473 0.5305
78 Al 0.7473 0.7473 0.9695
79 Al 0.7530 0.2470 0.0000
80 Al 0.7530 0.2470 0.5000
81 Al 0.7530 0.5061 0.0000
82 Al 0.7530 0.5061 0.5000
83 Al 0.7641 0.1580 0.1643
84 Al 0.7641 0.1580 0.3357
85 Al 0.7641 0.6062 0.6643
86 Al 0.7641 0.6062 0.8357
87 Al 0.8401 0.0000 0.6145
88 Al 0.8401 0.0000 0.8855
89 Al 0.8401 0.8401 0.1145
90 Al 0.8401 0.8401 0.3855
91 Al 0.8420 0.2359 0.6643
92 Al 0.8420 0.2359 0.8357
93 Al 0.8420 0.6062 0.1643
94 Al 0.8420 0.6062 0.3357
95 Al 0.8518 0.0000 0.2500
96 Al 0.8518 0.8518 0.7500
97 Al 0.8527 0.4037 0.2500
98 Al 0.8527 0.4490 0.7500
99 W 0.0000 0.0000 0.0000
100 W 0.0000 0.0000 0.5000
101 W 0.0000 0.2692 0.2500
102 W 0.0000 0.7308 0.7500
103 W 0.2692 0.0000 0.2500
104 W 0.2692 0.2692 0.7500
105 W 0.7308 0.0000 0.7500
106 W 0.7308 0.7308 0.2500

Computed properties:
**Crystal system**: hexagonal
**Formation enthalpy at 0 K**: -0.275 eV per atom
**Uncorrected energy**: -5.21 eV/atom
**SG**: P6_3/mcm (193)
**Density of states at the Fermi level**: 0.40 states/eV/atom
**Magnetic moment**: 0.00 μB per formula unit



> Which value of formation enthalpy at 0 K does entry 6 give?

-0.275 eV per atom